(1)
# TcSbIrI2 (PBE-GGA, optimized geometry)
data_TcSbIrI2
_chemical_formula_sum 'Tc1 Sb1 Ir1 I2'
_space_group_name_H-M_alt 'P 1'
_space_group_IT_number 1
_space_group_name_Hall 'P 1'
_cell_length_a 5.315
_cell_length_b 5.315
_cell_length_c 4.802
_cell_angle_alpha 90.00
_cell_angle_beta 90.00
_cell_angle_gamma 90.00
loop_
_atom_site_label
_atom_site_type_symbol
_atom_site_fract_x
_atom_site_fract_y
_atom_site_fract_z
_atom_site_occupancy
Tc1 Tc 0.000 0.000 0.000 1
Sb1 Sb 0.500 0.500 0.500 1
Ir1 Ir 0.000 0.000 0.500 1
I1 I 0.000 0.500 0.000 1
I2 I 0.500 0.000 0.000 1
# * total energy: -4.190 eV/atom
# * D(E_F): 6.85 states/eV per cell


(2)
# LaTi2Be (PBE-GGA, optimized geometry)
data_LaTi2Be
_chemical_formula_sum 'La2 Ti4 Be2'
_space_group_name_H-M_alt 'P 1'
_space_group_IT_number 1
_space_group_name_Hall 'P 1'
_cell_length_a 9.930
_cell_length_b 9.930
_cell_length_c 9.930
_cell_angle_alpha 154.13
_cell_angle_beta 154.13
_cell_angle_gamma 36.91
loop_
_atom_site_label
_atom_site_type_symbol
_atom_site_fract_x
_atom_site_fract_y
_atom_site_fract_z
_atom_site_occupancy
La1 La 0.000 0.000 0.000 1
La2 La 0.750 0.250 0.500 1
Ti1 Ti 0.341 0.625 0.216 1
Ti2 Ti 0.375 0.591 0.716 1
Ti3 Ti 0.409 0.125 0.784 1
Ti4 Ti 0.875 0.659 0.284 1
Be1 Be 0.250 0.750 0.500 1
Be2 Be 0.500 0.500 0.000 1
# * D(E_F): 8.64 states/eV per cell
# * E_form: 687 meV per atom


(3)
# ZrMn10B2 (PBE-GGA, optimized geometry)
data_ZrMn10B2
_chemical_formula_sum 'Zr2 Mn20 B4'
_space_group_name_H-M_alt 'P 1'
_space_group_IT_number 1
_space_group_name_Hall 'P 1'
_cell_length_a 6.011
_cell_length_b 6.011
_cell_length_c 7.787
_cell_angle_alpha 90.00
_cell_angle_beta 90.00
_cell_angle_gamma 96.63
loop_
_atom_site_label
_atom_site_type_symbol
_atom_site_fract_x
_atom_site_fract_y
_atom_site_fract_z
_atom_site_occupancy
Zr1 Zr 0.116 0.884 0.750 1
Zr2 Zr 0.884 0.116 0.250 1
Mn1 Mn 0.116 0.388 0.750 1
Mn2 Mn 0.175 0.825 0.093 1
Mn3 Mn 0.175 0.825 0.407 1
Mn4 Mn 0.223 0.223 0.000 1
Mn5 Mn 0.223 0.223 0.500 1
Mn6 Mn 0.251 0.473 0.250 1
Mn7 Mn 0.381 0.619 0.561 1
Mn8 Mn 0.381 0.619 0.939 1
Mn9 Mn 0.388 0.116 0.250 1
Mn10 Mn 0.473 0.251 0.750 1
Mn11 Mn 0.527 0.749 0.250 1
Mn12 Mn 0.612 0.884 0.750 1
Mn13 Mn 0.619 0.381 0.061 1
Mn14 Mn 0.619 0.381 0.439 1
Mn15 Mn 0.749 0.527 0.750 1
Mn16 Mn 0.777 0.777 0.000 1
Mn17 Mn 0.777 0.777 0.500 1
Mn18 Mn 0.825 0.175 0.593 1
Mn19 Mn 0.825 0.175 0.907 1
Mn20 Mn 0.884 0.612 0.250 1
B1 B 0.000 0.500 0.000 1
B2 B 0.000 0.500 0.500 1
B3 B 0.500 0.000 0.000 1
B4 B 0.500 0.000 0.500 1
# * D(E_F): 25.17 states/eV per cell
# * E_form: -145 meV per atom


(4)
# HgTe2Pt (PBE-GGA, optimized geometry)
data_HgTe2Pt
_chemical_formula_sum 'Hg1 Te2 Pt1'
_space_group_name_H-M_alt 'P 1'
_space_group_IT_number 1
_space_group_name_Hall 'P 1'
_cell_length_a 5.013
_cell_length_b 5.013
_cell_length_c 4.063
_cell_angle_alpha 90.00
_cell_angle_beta 90.00
_cell_angle_gamma 108.60
loop_
_atom_site_label
_atom_site_type_symbol
_atom_site_fract_x
_atom_site_fract_y
_atom_site_fract_z
_atom_site_occupancy
Hg1 Hg 0.000 0.000 0.000 1
Te1 Te 0.000 0.500 0.500 1
Te2 Te 0.500 0.000 0.500 1
Pt1 Pt 0.500 0.500 0.000 1
# * total energy: -2.815 eV/atom
# * D(E_F): 2.63 states/eV per cell


(5)
# YEr2Pd3 (PBE-GGA, optimized geometry)
data_YEr2Pd3
_chemical_formula_sum 'Y1 Er2 Pd3'
_space_group_name_H-M_alt 'P 1'
_space_group_IT_number 1
_space_group_name_Hall 'P 1'
_cell_length_a 3.492
_cell_length_b 3.492
_cell_length_c 10.474
_cell_angle_alpha 90.00
_cell_angle_beta 90.00
_cell_angle_gamma 90.00
loop_
_atom_site_label
_atom_site_type_symbol
_atom_site_fract_x
_atom_site_fract_y
_atom_site_fract_z
_atom_site_occupancy
Y1 Y 0.000 0.000 0.000 1
Er1 Er 0.000 0.000 0.335 1
Er2 Er 0.000 0.000 0.665 1
Pd1 Pd 0.500 0.500 0.173 1
Pd2 Pd 0.500 0.500 0.500 1
Pd3 Pd 0.500 0.500 0.827 1
# * D(E_F): 4.25 states/eV per cell
# * E_form: -905 meV per atom


(6)
# PrY2Cu (PBE-GGA, optimized geometry)
data_PrY2Cu
_chemical_formula_sum 'Pr1 Y2 Cu1'
_space_group_name_H-M_alt 'P 1'
_space_group_IT_number 1
_space_group_name_Hall 'P 1'
_cell_length_a 9.971
_cell_length_b 9.971
_cell_length_c 9.971
_cell_angle_alpha 21.62
_cell_angle_beta 21.62
_cell_angle_gamma 21.62
loop_
_atom_site_label
_atom_site_type_symbol
_atom_site_fract_x
_atom_site_fract_y
_atom_site_fract_z
_atom_site_occupancy
Pr1 Pr 0.000 0.000 0.000 1
Y1 Y 0.563 0.563 0.563 1
Y2 Y 0.768 0.768 0.768 1
Cu1 Cu 0.165 0.165 0.165 1
# * D(E_F): 4.86 states/eV per cell
# * E_form: 20 meV per atom